Entry 1:
CuAg2 after structural relaxation. Source: Alexandria via LeMat-Bulk, functional PBE-GGA.

Output
The value obtained for the formation energy is 476.2 meV per atom. The raw total energy is -33.48 eV/cell. The density comes out at 8.15 g cm⁻³.

Cell lengths 6.105, 6.105, 6.105 Å; angles 90.00, 90.00, 90.00 degrees
Atoms (fractional coordinates):
Cu: 0.000 0.000 0.000
Cu: 0.000 0.500 0.500
Cu: 0.500 0.000 0.500
Cu: 0.500 0.500 0.000
Ag: 0.137 0.637 0.863
Ag: 0.137 0.863 0.363
Ag: 0.363 0.137 0.863
Ag: 0.363 0.363 0.363
Ag: 0.637 0.637 0.637
Ag: 0.637 0.863 0.137
Ag: 0.863 0.137 0.637
Ag: 0.863 0.363 0.137

---

Entry 2:
Cu3Ag2 after structural relaxation. Source: Alexandria via LeMat-Bulk, functional PBE-GGA.

Output
The value obtained for the formation energy is 151.2 meV per atom. The raw total energy is -17.24 eV/cell. The density comes out at 9.23 g cm⁻³.

Cell lengths 10.838, 10.838, 10.838 Å; angles 14.88, 14.88, 14.88 degrees
Atoms (fractional coordinates):
Cu: 0.000 0.000 0.000
Cu: 0.196 0.196 0.196
Cu: 0.804 0.804 0.804
Ag: 0.402 0.402 0.402
Ag: 0.598 0.598 0.598

---

Entry 3:
CuAg after structural relaxation. Source: Alexandria via LeMat-Bulk, functional PBE-GGA.

Output
The value obtained for the formation energy is 169.7 meV per atom. The raw total energy is -13.22 eV/cell. The density comes out at 9.34 g cm⁻³.

Cell lengths 4.417, 4.417, 4.417 Å; angles 60.00, 60.00, 60.00 degrees
Atoms (fractional coordinates):
Cu: 0.125 0.125 0.125
Cu: 0.875 0.875 0.875
Ag: 0.375 0.375 0.375
Ag: 0.625 0.625 0.625

---

Entry 4:
CuAg2 after structural relaxation. Source: Alexandria via LeMat-Bulk, functional PBE-GGA.

Output
The value obtained for the formation energy is 117.9 meV per atom. The raw total energy is -18.89 eV/cell. The density comes out at 9.37 g cm⁻³.

Cell lengths 5.112, 5.112, 5.112 Å; angles 103.49, 103.49, 122.24 degrees
Atoms (fractional coordinates):
Cu: 0.250 0.250 0.000
Cu: 0.750 0.750 0.000
Ag: 0.158 0.658 0.816
Ag: 0.342 0.158 0.500
Ag: 0.658 0.842 0.500
Ag: 0.842 0.342 0.184

---

Entry 5:
CuAg8 after structural relaxation. Source: Alexandria via LeMat-Bulk, functional PBE-GGA.

Output
The value obtained for the formation energy is 82.3 meV per atom. The raw total energy is -26.17 eV/cell. The density comes out at 9.72 g cm⁻³.

Cell lengths 7.442, 7.442, 7.442 Å; angles 92.30, 92.30, 156.91 degrees
Atoms (fractional coordinates):
Cu: 0.000 0.000 0.000
Ag: 0.000 0.333 0.333
Ag: 0.000 0.667 0.667
Ag: 0.333 0.000 0.333
Ag: 0.341 0.341 0.681
Ag: 0.341 0.659 0.000
Ag: 0.659 0.341 0.000
Ag: 0.659 0.659 0.319
Ag: 0.667 0.000 0.667

---

Entry 6:
CuAg2 after structural relaxation. Source: Alexandria via LeMat-Bulk, functional PBE-GGA.

Output
The value obtained for the formation energy is 411.2 meV per atom. The raw total energy is -34.26 eV/cell. The density comes out at 8.26 g cm⁻³.

Cell lengths 5.363, 5.363, 9.014 Å; angles 90.00, 90.00, 120.00 degrees
Atoms (fractional coordinates):
Cu: 0.333 0.667 0.011
Cu: 0.333 0.667 0.489
Cu: 0.667 0.333 0.511
Cu: 0.667 0.333 0.989
Ag: 0.000 0.000 0.000
Ag: 0.000 0.000 0.500
Ag: 0.169 0.338 0.750
Ag: 0.169 0.831 0.750
Ag: 0.338 0.169 0.250
Ag: 0.662 0.831 0.750
Ag: 0.831 0.169 0.250
Ag: 0.831 0.662 0.250

---

Entry 7:
CuAg8 after structural relaxation. Source: Alexandria via LeMat-Bulk, functional PBE-GGA.

Output
The value obtained for the formation energy is 61.0 meV per atom. The raw total energy is -26.36 eV/cell. The density comes out at 9.80 g cm⁻³.

Cell lengths 6.648, 6.648, 6.648 Å; angles 94.89, 94.89, 146.05 degrees
Atoms (fractional coordinates):
Cu: 0.000 0.000 0.000
Ag: 0.000 0.331 0.331
Ag: 0.000 0.669 0.669
Ag: 0.331 0.000 0.331
Ag: 0.338 0.338 0.676
Ag: 0.338 0.662 0.000
Ag: 0.662 0.338 0.000
Ag: 0.662 0.662 0.324
Ag: 0.669 0.000 0.669

---

Entry 8:
CuAg after structural relaxation. Source: Alexandria via LeMat-Bulk, functional PBE-GGA.

Output
The value obtained for the formation energy is 145.5 meV per atom. The raw total energy is -13.31 eV/cell. The density comes out at 9.36 g cm⁻³.

Cell lengths 2.795, 2.795, 8.991 Å; angles 90.00, 90.00, 120.00 degrees
Atoms (fractional coordinates):
Cu: 0.333 0.667 0.250
Cu: 0.667 0.333 0.750
Ag: 0.000 0.000 0.000
Ag: 0.000 0.000 0.500

---

Which of these has the highest density?
number 7